A plane-wave DFT calculation with PBE was carried out for a relaxed structure of Dy2BeGe3.

## Properties
Crystal system ... orthorhombic
Formation energy ... -605 meV/atom
Excess energy over the best structure of this formula in the dataset ... 0.0 meV/atom

Lattice parameters (Å, degrees): 8.1192 8.0926 5.7157 69.61 69.11 41.29
Last column: nearest neighbours and their distance in Å.
Fractional positions:
Dy1 0.2429 0.7571 0.7571  10 Ge 3.05-3.18, 2 Be 3.12
Dy2 0.2500 0.2500 0.2500  8 Ge 3.04, 4 Be 3.09
Dy3 0.7500 0.7500 0.7500  8 Ge 3.04, 4 Be 3.09
Dy4 0.7571 0.2429 0.2429  10 Ge 3.05-3.18, 2 Be 3.12
Be1 0.3331 0.3331 0.6669  3 Ge 2.18-2.22
Be2 0.6669 0.6669 0.3331  3 Ge 2.18-2.22
Ge1 0.1754 0.1754 0.8246  1 Be 2.22
Ge2 0.1814 0.6432 0.3568  1 Be 2.18
Ge3 0.3568 0.8186 0.1814  1 Be 2.18
Ge4 0.6432 0.1814 0.8186  1 Be 2.18
Ge5 0.8186 0.3568 0.6432  1 Be 2.18
Ge6 0.8246 0.8246 0.1754  1 Be 2.22


A plane-wave DFT calculation with PBE was carried out for a relaxed structure of Dy2BeGe3.

## Properties
Crystal system ... orthorhombic
Formation energy ... -585 meV/atom
Excess energy over the best structure of this formula in the dataset ... 20.6 meV/atom

Lattice parameters (Å, degrees): 4.0303 4.0660 7.0602 90.00 90.00 90.00
Last column: nearest neighbours and their distance in Å.
Fractional positions:
Dy1 0.0000 0.0000 0.0000  2 Be 3.04, 10 Ge 3.08-3.26
Dy2 0.0000 0.5000 0.4977  8 Ge 2.97-3.13, 4 Be 3.12
Be1 0.5000 0.0000 0.3219  3 Ge 2.23-2.24
Ge1 0.5000 0.0000 0.6378  1 Be 2.23, 2 Ge 2.47
Ge2 0.5000 0.5000 0.1896  2 Be 2.24, 1 Ge 2.49
Ge3 0.5000 0.5000 0.8376  3 Ge 2.47-2.49


A plane-wave DFT calculation with PBE was carried out for a relaxed structure of Dy3Be2Ge4.

## Properties
Crystal system ... monoclinic
Formation energy ... -586 meV/atom
Excess energy over the best structure of this formula in the dataset ... 75.6 meV/atom

Lattice parameters (Å, degrees): 5.7627 5.7627 8.2293 107.79 107.79 40.66
Last column: nearest neighbours and their distance in Å.
Fractional positions:
Dy1 0.0000 0.0000 0.0000  6 Ge 2.96-3.06
Dy2 0.3800 0.3800 0.3115  4 Be 2.96-3.27, 8 Ge 2.97-3.29
Dy3 0.6200 0.6200 0.6885  4 Be 2.96-3.27, 8 Ge 2.97-3.29
Be1 0.3086 0.3086 0.6460  4 Ge 2.30-2.51
Be2 0.6914 0.6914 0.3540  4 Ge 2.30-2.51
Ge1 0.1014 0.1014 0.3936  3 Be 2.30-2.51
Ge2 0.2872 0.2872 0.9263  1 Be 2.39, 2 Ge 2.60
Ge3 0.7128 0.7128 0.0737  1 Be 2.39, 2 Ge 2.60
Ge4 0.8986 0.8986 0.6064  3 Be 2.30-2.51


A plane-wave DFT calculation with PBE was carried out for a relaxed structure of Dy2Be3GeIr4.

## Properties
Crystal system ... tetragonal
Formation energy ... -682 meV/atom

Lattice parameters (Å, degrees): 4.1139 4.1139 9.3343 90.00 90.00 90.00
Last column: nearest neighbours and their distance in Å.
Fractional positions:
Dy1 0.0000 0.5000 0.2313  8 Ir 2.98-3.15, 7 Be 3.12-3.24, 2 Ge 3.24
Dy2 0.5000 0.0000 0.7687  8 Ir 2.98-3.15, 7 Be 3.12-3.24, 2 Ge 3.24
Be1 0.0000 0.5000 0.8887  5 Ir 2.30-2.34
Be2 0.5000 0.0000 0.1113  5 Ir 2.30-2.34
Be3 0.5000 0.5000 0.5000  4 Ir 2.43
Ge1 0.0000 0.0000 0.5000  4 Ir 2.43
Ir1 0.0000 0.0000 0.0000  4 Be 2.30
Ir2 0.0000 0.5000 0.6379  3 Be 2.34-2.43, 2 Ge 2.43
Ir3 0.5000 0.0000 0.3621  3 Be 2.34-2.43, 2 Ge 2.43
Ir4 0.5000 0.5000 0.0000  4 Be 2.30


> Among the records above, which one has the lowest formation energy?

Dy2Be3GeIr4